# PBE-GGA Rb3U2ZnSe6, optimized geometry
data_Rb3U2ZnSe6
_cell_length_a 7.314
_cell_length_b 12.678
_cell_length_c 8.321
_cell_angle_alpha 90.00
_cell_angle_beta 106.99
_cell_angle_gamma 90.00
_symmetry_space_group_name_H-M 'C 1 2/m 1'
_symmetry_Int_Tables_number 12
loop_
_symmetry_equiv_pos_as_xyz
'x,y,z'
'-x,-y,-z'
'-x,y,-z'
'x,-y,z'
'x+1/2,y+1/2,z'
'-x+1/2,-y+1/2,-z'
'-x+1/2,y+1/2,-z'
'x+1/2,-y+1/2,z'
loop_
_atom_site_label
_atom_site_fract_x
_atom_site_fract_y
_atom_site_fract_z
Rb1 0.000 0.000 0.000
Rb2 0.000 0.334 0.000
U1 0.000 0.167 0.500
Zn1 0.000 0.500 0.500
Se1 0.227 0.336 0.691
Se2 0.237 0.000 0.690
# Raw formation energy = -12.9 eV per formula unit
# Total magnetic moment = 10.0 μB/cell